The following is a GGA-PBEsol calculation of an optimized crystal structure of SrFe2Ni, from the Alexandria database.

## Properties
Magnetic moment   5.12 μB per cell
Energy of formation from the pure elements   0.79 eV/atom
DFT total energy   -5.688 eV/atom

a b c (Å): 4.4497 4.4497 4.4497
angles (deg): 60.00 60.00 60.00
Element x y z (fractional)
Sr 0.0000 0.0000 0.0000
Fe 0.2500 0.2500 0.2500
Fe 0.5000 0.5000 0.5000
Ni 0.7500 0.7500 0.7500

The following is a GGA-PBEsol calculation of an optimized crystal structure of Tl2AgRu, from the Alexandria database.

## Properties
Magnetic moment   0.00 μB per cell
Energy of formation from the pure elements   0.47 eV/atom
Energy above the most stable polymorph in this dataset   79 meV/atom
DFT total energy   -4.218 eV/atom

a b c (Å): 9.1902 9.1902 9.1902
angles (deg): 19.68 19.68 19.68
Element x y z (fractional)
Tl 0.2452 0.2452 0.2452
Tl 0.7548 0.7548 0.7548
Ag 0.0000 0.0000 0.0000
Ru 0.5000 0.5000 0.5000

The following is a GGA-PBEsol calculation of an optimized crystal structure of ZrTi2Ru2, from the Alexandria database.

## Properties
Magnetic moment   0.00 μB per cell
Energy of formation from the pure elements   -0.21 eV/atom
DFT total energy   -9.426 eV/atom

a b c (Å): 6.1226 6.1226 6.1226
angles (deg): 141.98 141.98 54.85
Element x y z (fractional)
Zr 0.0000 0.0000 0.0000
Ti 0.2500 0.7500 0.5000
Ti 0.7500 0.2500 0.5000
Ru 0.3868 0.3868 0.0000
Ru 0.6132 0.6132 0.0000

The following is a GGA-PBEsol calculation of an optimized crystal structure of SrCrPt2, from the Alexandria database.

## Properties
Magnetic moment   3.16 μB per cell
Energy of formation from the pure elements   -0.19 eV/atom
Energy above the most stable polymorph in this dataset   0 meV/atom
DFT total energy   -6.693 eV/atom

a b c (Å): 3.1928 3.1928 7.2001
angles (deg): 90.00 90.00 90.00
Element x y z (fractional)
Sr 0.0000 0.0000 0.0000
Cr 0.0000 0.0000 0.5000
Pt 0.5000 0.5000 0.3088
Pt 0.5000 0.5000 0.6912

The following is a GGA-PBEsol calculation of an optimized crystal structure of Li2Mg, from the Alexandria database.

## Properties
Magnetic moment   0.00 μB per cell
Energy of formation from the pure elements   -0.04 eV/atom
DFT total energy   -1.920 eV/atom

a b c (Å): 5.5989 5.5989 6.9444
angles (deg): 107.41 107.41 35.09
Element x y z (fractional)
Li 0.0077 0.0077 0.2434
Li 0.3336 0.3336 0.9251
Li 0.6664 0.6664 0.0749
Li 0.9923 0.9923 0.7566
Mg 0.3380 0.3380 0.4083
Mg 0.6620 0.6620 0.5917

The following is a GGA-PBEsol calculation of an optimized crystal structure of Cs3HgCl5, from the Alexandria database.

## Properties
Magnetic moment   0.46 μB per cell
E_form (uncorrected)   -1.5426 eV/atom
DFT total energy   -3.035 eV/atom

a b c (Å): 8.8004 10.6985 13.3181
angles (deg): 90.00 90.00 90.00
Element x y z (fractional)
Cs 0.0838 0.2500 0.0497
Cs 0.0855 0.0234 0.3329
Cs 0.0855 0.4766 0.3329
Cs 0.4145 0.5234 0.8329
Cs 0.4145 0.9766 0.8329
Cs 0.4162 0.7500 0.5497
Cs 0.5838 0.2500 0.4503
Cs 0.5855 0.0234 0.1671
Cs 0.5855 0.4766 0.1671
Cs 0.9145 0.5234 0.6671
Cs 0.9145 0.9766 0.6671
Cs 0.9162 0.7500 0.9503
Hg 0.2023 0.2500 0.6158
Hg 0.2977 0.7500 0.1158
Hg 0.7023 0.2500 0.8842
Hg 0.7977 0.7500 0.3842
Cl 0.0403 0.7500 0.4910
Cl 0.1133 0.2500 0.7924
Cl 0.1670 0.7500 0.7600
Cl 0.1882 0.5473 0.0661
Cl 0.1882 0.9527 0.0661
Cl 0.3118 0.0473 0.5661
Cl 0.3118 0.4527 0.5661
Cl 0.3330 0.2500 0.2600
Cl 0.3867 0.7500 0.2924
Cl 0.4597 0.2500 0.9910
Cl 0.5403 0.7500 0.0090
Cl 0.6133 0.2500 0.7076
Cl 0.6670 0.7500 0.7400
Cl 0.6882 0.5473 0.4339
Cl 0.6882 0.9527 0.4339
Cl 0.8118 0.0473 0.9339
Cl 0.8118 0.4527 0.9339
Cl 0.8330 0.2500 0.2400
Cl 0.8867 0.7500 0.2076
Cl 0.9597 0.2500 0.5090

The following is a GGA-PBEsol calculation of an optimized crystal structure of AgSb2Te, from the Alexandria database.

## Properties
Magnetic moment   0.00 μB per cell
E_form (uncorrected)   0.2597 eV/atom
DFT total energy   -3.728 eV/atom

a b c (Å): 6.1609 6.1609 6.1609
angles (deg): 138.96 138.96 59.44
Element x y z (fractional)
Ag 0.0000 0.0000 0.0000
Sb 0.2500 0.7500 0.5000
Sb 0.7500 0.2500 0.5000
Te 0.5000 0.5000 0.0000

The following is a GGA-PBEsol calculation of an optimized crystal structure of Zr2Ni3, from the Alexandria database.

## Properties
Magnetic moment   0.00 μB per cell
Energy of formation from the pure elements   -0.43 eV/atom
DFT total energy   -7.764 eV/atom

a b c (Å): 6.7884 5.0703 7.4700
angles (deg): 62.12 41.31 76.57
Element x y z (fractional)
Zr 0.1343 0.8657 0.2737
Zr 0.5237 0.9763 0.3843
Zr 0.8657 0.1343 0.7263
Zr 0.9763 0.5237 0.1157
Ni 0.1195 0.1195 0.8805
Ni 0.3695 0.3695 0.1305
Ni 0.4078 0.5231 0.3791
Ni 0.5231 0.4078 0.6900
Ni 0.5600 0.8709 0.7269
Ni 0.8709 0.5600 0.8422